Entry 1:
DFT (GGA-PBE) results for TiAgS2 after structural relaxation.

a b c (Å): 4.518 4.518 4.518
angles (deg): 60.00 60.00 60.00
Atoms (fractional coordinates):
Ti 0.000 0.000 0.000
Ag 0.500 0.500 0.500
S 0.250 0.250 0.250
S 0.750 0.750 0.750

Symmetry   Fm-3m, No. 225
VASP energy   -20.4 eV/cell

---

Entry 2:
DFT (GGA-PBE) results for TiAg2S3 after structural relaxation.

a b c (Å): 6.806 6.806 3.560
angles (deg): 90.00 90.00 134.68
Atoms (fractional coordinates):
Ti 0.000 0.000 0.000
Ag 0.339 0.661 0.500
Ag 0.661 0.339 0.500
S 0.133 0.867 0.500
S 0.500 0.500 0.000
S 0.867 0.133 0.500

Symmetry   Cmmm, No. 65
VASP energy   -29.0 eV/cell

---

Entry 3:
DFT (GGA-PBE) results for TiTlAg2S4 after structural relaxation.

a b c (Å): 6.952 6.949 6.064
angles (deg): 64.16 64.11 51.72
Atoms (fractional coordinates):
Ti 0.000 0.000 0.000
Tl 0.499 0.499 0.501
Ag 0.250 0.250 0.250
Ag 0.750 0.750 0.750
S 0.084 0.661 0.339
S 0.339 0.916 0.661
S 0.661 0.084 0.916
S 0.916 0.339 0.084

Symmetry   Fmm2, No. 42
VASP energy   -36.7 eV/cell

---

Entry 4:
DFT (GGA-PBE) results for TiTl2AgS4 after structural relaxation.

a b c (Å): 7.000 7.000 7.000
angles (deg): 123.99 123.99 83.22
Atoms (fractional coordinates):
Ti 0.000 0.000 0.000
Tl 0.500 0.500 0.000
Tl 0.750 0.250 0.500
Ag 0.250 0.750 0.500
S 0.096 0.693 0.036
S 0.307 0.343 0.403
S 0.657 0.060 0.964
S 0.940 0.904 0.597

Symmetry   I-4, No. 82
VASP energy   -36.4 eV/cell

---

In the order shown, the computed uncorrected formation energy values come out to -0.361, -0.504, -0.526, -0.555 eV per atom.
In the order shown, the computed V values come out to 65.22, 117.26, 201.17, 226.19 Å³ per cell.
In the order shown, the computed total moment values come out to 0.25, 0.00, 0.00, 0.00 μB per atom.